1.
## KBe2Si (PBE)

Data for KBe2Si after structural relaxation.

Lattice parameters (Å, degrees): 4.5717 4.5717 4.5398 120.23 120.23 90.00
Last column: nearest neighbours and their distance in Å.
Element x y z (fractional)
Be (0.2500, 0.7500, 0.5000)  4 K 2.79, 4 Be 2.79
Si (0.7500, 0.2500, 0.5000)  4 K 2.79, 4 Be 2.79
K (0.5000, 0.5000, 0.0000)  4 Be 2.79, 4 Si 2.79
Be (0.0000, 0.0000, 0.0000)  4 Be 2.79, 4 Si 2.79

Total moment in Bohr magnetons per cell: 0.00
DFT total energy in eV/atom: -2.414
Space group: I-4m2 (119)

---

2.
## K3BeSi (PBE)

Data for K3BeSi after structural relaxation.

Lattice parameters (Å, degrees): 6.4708 6.4708 6.4708 90.00 90.00 90.00
Last column: nearest neighbours and their distance in Å.
Element x y z (fractional)
Si (0.0000, 0.0000, 0.0000)  6 K 3.24
K (0.0000, 0.5000, 0.0000)  2 Si 3.24
K (0.5000, 0.0000, 0.0000)  2 Si 3.24
Be (0.5000, 0.5000, 0.5000)  12 K 4.58
K (0.0000, 0.0000, 0.5000)  2 Si 3.24

Total moment in Bohr magnetons per cell: 1.00
Distance to the lowest polymorph of the same formula in meV per atom: 0
DFT total energy in eV/atom: -1.609
Space group: Pm-3m (221)

---

3.
## KBe2Si (PBE)

Data for KBe2Si after structural relaxation.

Lattice parameters (Å, degrees): 5.4099 5.4099 5.4099 138.88 108.18 86.25
Last column: nearest neighbours and their distance in Å.
Element x y z (fractional)
Be (0.8815, 0.8815, 0.0000)  1 Be 2.08, 2 Si 2.16
Si (0.7500, 0.2500, 0.5000)  4 Be 2.16
K (0.2500, 0.7500, 0.5000)  8 Be 3.34-3.48, 4 Si 3.70
Be (0.6185, 0.6185, 0.0000)  1 Be 2.08, 2 Si 2.16

Total moment in Bohr magnetons per cell: 0.00
DFT total energy in eV/atom: -2.801
Space group: Immm (71)